Model A:
This record from the Open Quantum Materials Database describes a relaxed structure of TaFeOsPb. The functional is PBE.

Output
The calculation puts the spin magnetization at 3.309 μB per formula unit. For the volume, the calculation gives 68 Å³/cell. As for the space group: F-43m.

```
TaFeOsPb
1.0
3.139 -0.933 3.211
2.492 3.391 1.824
-0.711 1.288 4.344
Os Fe Ta Pb
1 1 1 1
Cartesian
2.460 1.873 4.690 Os
3.690 2.810 7.035 Fe
1.230 0.937 2.345 Ta
0.000 0.000 0.000 Pb
```

---

Model B:
This record from the Open Quantum Materials Database describes a relaxed structure of TaFeOsPb. The functional is PBE.

Output
The calculation puts the spin magnetization at 1.120 μB per formula unit. For the volume, the calculation gives 66 Å³/cell. As for the space group: F-43m.

```
TaFeOsPb
1.0
2.932 -2.323 2.556
-0.183 0.319 4.516
-1.437 -3.520 2.464
Fe Os Ta Pb
1 1 1 1
Cartesian
0.984 -4.143 7.151 Fe
0.328 -1.381 2.384 Os
0.656 -2.762 4.768 Ta
0.000 0.000 0.000 Pb
```

---

Which of them is the least stable? Correct choice: model A.

---

Model A:
This record from the Open Quantum Materials Database describes a relaxed structure of ZrFeOsPb. The functional is PBE.

Output
The calculation puts the spin magnetization at 3.870 μB per formula unit. For the volume, the calculation gives 71 Å³/cell. As for the space group: F-43m.

```
ZrFeOsPb
1.0
0.000 3.282 3.282
3.282 0.000 3.282
3.282 3.282 0.000
Pb Os Zr Fe
1 1 1 1
Cartesian
0.000 0.000 0.000 Pb
3.282 3.282 3.282 Os
1.641 1.641 1.641 Zr
4.923 4.923 4.923 Fe
```

---

Model B:
This record from the Open Quantum Materials Database describes a relaxed structure of ZrFeOsPb. The functional is PBE.

Output
The calculation puts the spin magnetization at 0.003 μB per formula unit. For the volume, the calculation gives 68 Å³/cell. As for the space group: F-43m.

```
ZrFeOsPb
1.0
0.000 3.246 3.246
3.246 0.000 3.246
3.246 3.246 0.000
Zr Pb Fe Os
1 1 1 1
Cartesian
3.246 3.246 3.246 Zr
0.000 0.000 0.000 Pb
4.869 4.869 4.869 Fe
1.623 1.623 1.623 Os
```

---

Which of them is the least stable? Correct choice: model A.

---

Model A:
This record from the Open Quantum Materials Database describes a relaxed structure of TaFeSbOs. The functional is PBE.

Output
The calculation puts the spin magnetization at 1.978 μB per formula unit. For the volume, the calculation gives 64 Å³/cell. As for the space group: F-43m.

```
TaFeSbOs
1.0
0.000 3.176 3.176
3.176 0.000 3.176
3.176 3.176 0.000
Fe Sb Ta Os
1 1 1 1
Cartesian
4.764 4.764 4.764 Fe
0.000 0.000 0.000 Sb
3.176 3.176 3.176 Ta
1.588 1.588 1.588 Os
```

---

Model B:
This record from the Open Quantum Materials Database describes a relaxed structure of TaFeSbOs. The functional is PBE.

Output
The calculation puts the spin magnetization at 2.685 μB per formula unit. For the volume, the calculation gives 66 Å³/cell. As for the space group: F-43m.

```
TaFeSbOs
1.0
0.000 3.200 3.200
3.200 0.000 3.200
3.200 3.200 0.000
Fe Os Sb Ta
1 1 1 1
Cartesian
4.800 4.800 4.800 Fe
3.200 3.200 3.200 Os
0.000 0.000 0.000 Sb
1.600 1.600 1.600 Ta
```

---

Which of them is the least stable? Correct choice: model B.

---

Model A:
This record from the Open Quantum Materials Database describes a relaxed structure of Ta2FeOs. The functional is PBE.

Output
The calculation puts the spin magnetization at 0.531 μB per formula unit. For the volume, the calculation gives 371 Å³/cell. As for the space group: Immm.

```
Ta2FeOs
1.0
-4.306 -0.579 -0.893
-1.100 -1.180 6.069
-2.181 12.951 2.123
Fe Os Ta
6 6 12
Cartesian
-5.031 3.741 -0.184 Fe
-1.456 8.631 1.415 Fe
-4.523 9.915 4.357 Fe
-3.064 1.277 2.942 Fe
-3.794 5.596 3.650 Fe
0.000 0.000 0.000 Fe
-2.514 1.865 -0.093 Os
-3.973 10.507 1.323 Os
-5.582 3.152 2.850 Os
-3.243 6.186 0.615 Os
-2.005 8.039 4.449 Os
-0.550 -0.590 3.035 Os
-4.434 7.460 5.522 Ta
-4.943 1.286 0.980 Ta
-2.978 -1.174 4.102 Ta
-2.644 9.905 6.319 Ta
-2.094 10.495 3.287 Ta
-3.884 8.051 2.485 Ta
-5.493 0.697 4.012 Ta
-1.365 6.181 2.575 Ta
-3.703 3.141 4.815 Ta
-3.153 3.731 1.777 Ta
-1.916 5.589 5.617 Ta
-2.429 -0.585 1.075 Ta
```

---

Model B:
This record from the Open Quantum Materials Database describes a relaxed structure of Ta2FeOs. The functional is PBE.

Output
The calculation puts the spin magnetization at 1.626 μB per formula unit. For the volume, the calculation gives 248 Å³/cell. As for the space group: Imma.

```
Ta2FeOs
1.0
-1.003 -2.837 -5.525
5.407 -3.077 0.598
-2.998 -4.695 2.955
Ta Os Fe
8 4 4
Cartesian
-0.296 -7.189 -1.628 Ta
1.702 -3.420 -0.343 Ta
3.904 -6.378 -2.807 Ta
0.203 -5.768 1.133 Ta
-2.498 -4.231 0.835 Ta
1.203 -4.841 -3.105 Ta
2.405 -8.726 -1.330 Ta
-0.999 -1.883 -0.642 Ta
-0.148 -3.117 1.627 Os
0.850 -2.188 -2.612 Os
2.557 -4.654 1.926 Os
0.556 -8.421 0.640 Os
-0.650 -4.539 -1.145 Fe
2.056 -6.070 -0.827 Fe
4.053 -2.313 0.440 Fe
-2.648 -8.296 -2.412 Fe
```

---

Model C:
This record from the Open Quantum Materials Database describes a relaxed structure of Ta2FeOs. The functional is PBE.

Output
The calculation puts the spin magnetization at 1.591 μB per formula unit. For the volume, the calculation gives 248 Å³/cell. As for the space group: Fm-3m.

```
Ta2FeOs
1.0
-0.291 0.234 6.268
-3.139 -3.142 -0.028
6.271 -6.269 0.525
Os Ta Fe
4 8 4
Cartesian
3.062 -4.645 1.888 Os
2.916 -7.666 5.140 Os
-0.220 -4.532 4.877 Os
-0.073 -1.511 1.625 Os
-1.715 -3.023 3.178 Ta
1.567 -3.136 0.190 Ta
-1.570 -3.140 0.045 Ta
4.703 -6.271 0.452 Ta
1.566 -6.275 0.307 Ta
4.557 -6.154 3.587 Ta
1.422 -3.019 3.324 Ta
1.420 -6.158 3.441 Ta
2.917 -4.528 5.022 Fe
-0.219 -1.393 4.759 Fe
3.061 -7.784 2.006 Fe
-0.075 -4.649 1.742 Fe
```

---

Which of them is the least stable? Correct choice: model B.

---

Model A:
This record from the Open Quantum Materials Database describes a relaxed structure of TaTlFeOs. The functional is PBE.

Output
The calculation puts the spin magnetization at 0.015 μB per formula unit. For the volume, the calculation gives 64 Å³/cell. As for the space group: F-43m.

```
TaTlFeOs
1.0
0.000 3.174 3.174
3.174 0.000 3.174
3.174 3.174 0.000
Ta Tl Os Fe
1 1 1 1
Cartesian
3.174 3.174 3.174 Ta
0.000 0.000 0.000 Tl
1.587 1.587 1.587 Os
4.760 4.760 4.760 Fe
```

---

Model B:
This record from the Open Quantum Materials Database describes a relaxed structure of TaTlFeOs. The functional is PBE.

Output
The calculation puts the spin magnetization at 3.537 μB per formula unit. For the volume, the calculation gives 67 Å³/cell. As for the space group: F-43m.

```
TaTlFeOs
1.0
-2.865 -2.442 2.578
-2.114 1.954 3.540
-4.487 0.807 -0.184
Fe Ta Os Tl
1 1 1 1
Cartesian
-7.099 0.240 4.450 Fe
-2.366 0.080 1.483 Ta
-4.733 0.160 2.966 Os
0.000 0.000 0.000 Tl
```

---

Which of them is the least stable? Correct choice: model B.

---

Model A:
This record from the Open Quantum Materials Database describes a relaxed structure of ZrTlFeOs. The functional is PBE.

Output
The calculation puts the spin magnetization at 3.865 μB per formula unit. For the volume, the calculation gives 72 Å³/cell. As for the space group: F-43m.

```
ZrTlFeOs
1.0
0.000 3.297 3.297
3.297 0.000 3.297
3.297 3.297 0.000
Os Tl Fe Zr
1 1 1 1
Cartesian
3.297 3.297 3.297 Os
0.000 0.000 0.000 Tl
4.945 4.945 4.945 Fe
1.648 1.648 1.648 Zr
```

---

Model B:
This record from the Open Quantum Materials Database describes a relaxed structure of ZrTlFeOs. The functional is PBE.

Output
The calculation puts the spin magnetization at 1.346 μB per formula unit. For the volume, the calculation gives 69 Å³/cell. As for the space group: F-43m.

```
ZrTlFeOs
1.0
0.000 3.254 3.254
3.254 0.000 3.254
3.254 3.254 0.000
Zr Fe Tl Os
1 1 1 1
Cartesian
3.254 3.254 3.254 Zr
4.880 4.880 4.880 Fe
0.000 0.000 0.000 Tl
1.627 1.627 1.627 Os
```

---

Which of them is the least stable? Correct choice: model A.

---

Model A:
This record from the Open Quantum Materials Database describes a relaxed structure of TmFeOs. The functional is PBE.

Output
The calculation puts the spin magnetization at 3.452 μB per formula unit. For the volume, the calculation gives 60 Å³/cell. As for the space group: F-43m.

```
TmFeOs
1.0
-3.516 2.653 -0.023
-0.456 3.026 -3.169
-3.109 -0.490 -3.082
Tm Os Fe
1 1 1
Cartesian
0.000 0.000 0.000 Tm
-5.311 3.892 -4.705 Os
-1.770 1.297 -1.568 Fe
```

---

Model B:
This record from the Open Quantum Materials Database describes a relaxed structure of TmFeOs. The functional is PBE.

Output
The calculation puts the spin magnetization at 2.198 μB per formula unit. For the volume, the calculation gives 55 Å³/cell. As for the space group: F-43m.

```
TmFeOs
1.0
0.530 -4.173 0.710
0.371 -1.454 3.993
-3.155 -2.285 1.739
Tm Os Fe
1 1 1
Cartesian
-1.691 -5.935 4.832 Tm
-0.564 -1.978 1.611 Os
0.000 0.000 0.000 Fe
```

---

Which of them is the least stable? Correct choice: model A.

---

Model A:
This record from the Open Quantum Materials Database describes a relaxed structure of YZnFeOs. The functional is PBE.

Output
The calculation puts the spin magnetization at 2.852 μB per formula unit. For the volume, the calculation gives 67 Å³/cell. As for the space group: F-43m.

```
YZnFeOs
1.0
-3.105 -1.483 2.984
-4.348 1.294 -0.405
-3.159 -3.010 -1.307
Fe Os Zn Y
1 1 1 1
Cartesian
-7.959 -2.400 0.954 Fe
-2.653 -0.800 0.318 Os
0.000 0.000 0.000 Zn
-5.306 -1.600 0.636 Y
```

---

Model B:
This record from the Open Quantum Materials Database describes a relaxed structure of YZnFeOs. The functional is PBE.

Output
The calculation puts the spin magnetization at 3.254 μB per formula unit. For the volume, the calculation gives 68 Å³/cell. As for the space group: F-43m.

```
YZnFeOs
1.0
0.000 3.247 3.247
3.247 0.000 3.247
3.247 3.247 0.000
Fe Y Os Zn
1 1 1 1
Cartesian
4.870 4.870 4.870 Fe
1.623 1.623 1.623 Y
3.247 3.247 3.247 Os
0.000 0.000 0.000 Zn
```

---

Which of them is the least stable? Correct choice: model A.

---

Model A:
This record from the Open Quantum Materials Database describes a relaxed structure of Y2FeP6W. The functional is PBE.

Output
The calculation puts the spin magnetization at 2.221 μB per formula unit. For the volume, the calculation gives 184 Å³/cell. As for the space group: I4/m.

```
Y2FeP6W
1.0
4.913 -3.898 2.332
2.043 3.392 5.394
-6.258 -1.835 -1.496
P Y Fe W
6 2 1 1
Cartesian
1.740 -0.126 1.932 P
5.217 -0.379 5.793 P
2.092 1.136 5.202 P
-1.393 -3.477 1.027 P
-1.684 -0.164 1.506 P
2.383 -2.177 4.724 P
-0.368 0.652 3.880 Y
1.067 -2.993 2.349 Y
0.000 0.000 0.000 Fe
3.478 -0.253 3.863 W
```

---

Model B:
This record from the Open Quantum Materials Database describes a relaxed structure of Y2FeP6W. The functional is PBE.

Output
The calculation puts the spin magnetization at 0.014 μB per formula unit. For the volume, the calculation gives 381 Å³/cell. As for the space group: P-31c.

```
Y2FeP6W
1.0
-1.121 -6.355 -0.935
3.127 2.005 5.359
-9.043 0.866 4.953
W Y P Fe
2 4 12 2
Cartesian
-1.966 -3.352 2.401 W
-5.071 -0.132 6.976 W
1.148 -0.728 3.569 Y
-8.185 -2.756 5.808 Y
-4.789 -3.081 3.948 Y
-2.248 -0.402 5.429 Y
-0.789 -1.421 1.542 P
-5.296 1.157 9.010 P
-3.580 -1.998 7.354 P
-0.016 -4.315 3.459 P
-3.457 -1.485 2.023 P
-6.248 -2.062 7.835 P
-4.942 -0.263 4.564 P
-2.095 -3.220 4.813 P
-7.021 0.831 5.917 P
-1.741 -4.640 0.367 P
-3.340 1.545 7.173 P
-3.697 -5.028 2.203 P
-2.261 0.217 1.238 Fe
-6.782 0.650 3.715 Fe
```

---

Which of them is the least stable? Correct choice: model B.

---

Model A:
This record from the Open Quantum Materials Database describes a relaxed structure of Pa3Fe. The functional is PBE.

Output
The calculation puts the spin magnetization at 0.015 μB per formula unit. For the volume, the calculation gives 85 Å³/cell. As for the space group: Pm-3m.

```
Pa3Fe
1.0
-3.016 -2.739 1.636
3.111 -2.027 2.343
-0.707 2.769 3.333
Pa Fe
3 1
Cartesian
0.047 -2.383 1.989 Pa
1.202 0.371 2.838 Pa
-1.862 0.015 2.484 Pa
0.000 0.000 0.000 Fe
```

---

Model B:
This record from the Open Quantum Materials Database describes a relaxed structure of Pa3Fe. The functional is PBE.

Output
The calculation puts the spin magnetization at 0.016 μB per formula unit. For the volume, the calculation gives 84 Å³/cell. As for the space group: I4/mmm.

```
Pa3Fe
1.0
-2.105 2.105 4.754
2.105 -2.105 4.754
2.105 2.105 -4.754
Pa Fe
3 1
Cartesian
0.000 0.000 4.754 Pa
2.105 0.000 2.377 Pa
0.000 2.105 2.377 Pa
0.000 0.000 0.000 Fe
```

---

Which of them is the least stable? Correct choice: model A.

---

Model A:
This record from the Open Quantum Materials Database describes a relaxed structure of PaFeTc. The functional is PBE.

Output
The calculation puts the spin magnetization at 2.000 μB per formula unit. For the volume, the calculation gives 55 Å³/cell. As for the space group: F-43m.

```
PaFeTc
1.0
3.522 -2.416 -0.097
2.544 -0.206 3.425
0.191 -3.591 2.306
Tc Fe Pa
1 1 1
Cartesian
1.564 -1.553 1.408 Tc
0.000 0.000 0.000 Fe
4.692 -4.660 4.225 Pa
```

---

Model B:
This record from the Open Quantum Materials Database describes a relaxed structure of PaFeTc. The functional is PBE.

Output
The calculation puts the spin magnetization at 1.780 μB per formula unit. For the volume, the calculation gives 56 Å³/cell. As for the space group: F-43m.

```
PaFeTc
1.0
-1.343 -4.042 -0.514
-3.336 -1.457 2.271
-3.742 -0.786 -1.947
Fe Tc Pa
1 1 1
Cartesian
-2.105 -1.571 -0.048 Fe
-6.316 -4.714 -0.143 Tc
0.000 0.000 0.000 Pa
```

---

Which of them is the least stable? Correct choice: model B.

---

Model A:
This record from the Open Quantum Materials Database describes a relaxed structure of PaFeW. The functional is PBE.

Output
The calculation puts the spin magnetization at 1.251 μB per formula unit. For the volume, the calculation gives 58 Å³/cell. As for the space group: F-43m.

```
PaFeW
1.0
1.191 3.206 2.670
-2.733 1.397 3.067
0.812 -0.845 4.178
Pa Fe W
1 1 1
Cartesian
-0.548 2.819 7.437 Pa
0.000 0.000 0.000 Fe
-0.183 0.940 2.479 W
```

---

Model B:
This record from the Open Quantum Materials Database describes a relaxed structure of PaFeW. The functional is PBE.

Output
The calculation puts the spin magnetization at 0.036 μB per formula unit. For the volume, the calculation gives 58 Å³/cell. As for the space group: F-43m.

```
PaFeW
1.0
0.000 3.066 3.066
3.066 0.000 3.066
3.066 3.066 0.000
Fe W Pa
1 1 1
Cartesian
1.533 1.533 1.533 Fe
4.599 4.599 4.599 W
0.000 0.000 0.000 Pa
```

---

Which of them is the least stable? Correct choice: model B.